! MnBeAl2, relaxed, DFT GGA-PBE; values from VASP
! Formation energy from the elements in eV per atom: -0.0492
! Total magnetization in μB per formula unit: 1.2
! DOS(E_F) in states/eV/atom: 0.47
! Space group: P4mm
&SYSTEM
  ibrav = 0, nat = 4, ntyp = 3
/
ATOMIC_SPECIES
Be 9.01 Be.upf
Mn 54.94 Mn.upf
Al 26.98 Al.upf
ATOMIC_POSITIONS crystal
Be 0.000 0.000 0.537
Mn 0.500 0.500 0.717
Al 0.000 0.000 0.962
Al 0.500 0.500 0.284
CELL_PARAMETERS angstrom
-2.288 1.088 1.484
0.818 -1.520 2.375
3.242 4.453 1.734